Record 1
Here is Ca2Nd2Dy after structural relaxation from Alexandria. Energies are from PBE-GGA.

a = 3.693 Å, b = 3.693 Å, c = 15.505 Å
α = 90.00°, β = 90.00°, γ = 120.00°
Fractional positions:
Ca 0.333 0.667 0.107
Ca 0.667 0.333 0.893
Nd 0.333 0.667 0.685
Nd 0.667 0.333 0.315
Dy 0.000 0.000 0.500

Output
Distance to the lowest polymorph of the same formula in kJ/mol of atoms: 0.0
N(E_F) in states/eV/cell: 6.280
Total magnetic moment in μB per atom: 0.00
Space group: No. 164
E_form in eV per formula unit: 0.2



Record 2
Here is TiZnSn after structural relaxation from Alexandria. Energies are from PBE-GGA.

a = 4.573 Å, b = 4.573 Å, c = 3.034 Å
α = 90.00°, β = 90.00°, γ = 120.00°
Fractional positions:
Ti 0.000 0.000 0.000
Zn 0.667 0.333 0.495
Sn 0.333 0.667 0.502

Output
N(E_F) in states/eV/cell: 2.299
Total magnetic moment in μB per atom: 0.20
Space group: No. 156
E_form in eV per formula unit: -0.1



Record 3
Here is Re4Tc2Rh3 after structural relaxation from Alexandria. Energies are from PBE-GGA.

a = 4.812 Å, b = 7.043 Å, c = 8.522 Å
α = 108.56°, β = 105.85°, γ = 90.04°
Fractional positions:
Re 0.054 0.463 0.275
Re 0.165 0.256 0.508
Re 0.169 0.077 0.161
Re 0.389 0.796 0.942
Re 0.611 0.204 0.058
Re 0.831 0.923 0.839
Re 0.835 0.744 0.492
Re 0.946 0.537 0.725
Tc 0.278 0.870 0.391
Tc 0.497 0.589 0.172
Tc 0.503 0.411 0.828
Tc 0.722 0.130 0.609
Rh 0.056 0.306 0.943
Rh 0.276 0.026 0.722
Rh 0.389 0.639 0.610
Rh 0.611 0.361 0.390
Rh 0.724 0.974 0.278
Rh 0.944 0.694 0.057

Output
N(E_F) in states/eV/cell: 16.057
Total magnetic moment in μB per atom: 0.00
Space group: No. 2
E_form in eV per formula unit: -0.8



Record 4
Here is Mn2SiAu2 after structural relaxation from Alexandria. Energies are from PBE-GGA.

a = 7.099 Å, b = 7.099 Å, c = 3.411 Å
α = 90.00°, β = 90.00°, γ = 90.00°
Fractional positions:
Mn 0.158 0.342 0.000
Mn 0.342 0.842 0.000
Mn 0.658 0.158 0.000
Mn 0.842 0.658 0.000
Si 0.000 0.000 0.500
Si 0.500 0.500 0.500
Au 0.142 0.642 0.500
Au 0.358 0.142 0.500
Au 0.642 0.858 0.500
Au 0.858 0.358 0.500

Output
Formation energy without anion corrections in eV/atom: 0.174
Distance to the lowest polymorph of the same formula in kJ/mol of atoms: 0.0
N(E_F) in states/eV/cell: 3.625
Total magnetic moment in μB per atom: 1.64
Space group: No. 127



Record 5
Here is KNa6Cd6 after structural relaxation from Alexandria. Energies are from PBE-GGA.

a = 8.394 Å, b = 8.394 Å, c = 8.394 Å
α = 137.06°, β = 99.46°, γ = 95.95°
Fractional positions:
K 0.000 0.000 0.000
Na 0.191 0.500 0.691
Na 0.340 0.340 0.000
Na 0.348 0.000 0.348
Na 0.652 0.000 0.652
Na 0.660 0.660 0.000
Na 0.809 0.500 0.309
Cd 0.000 0.000 0.500
Cd 0.000 0.500 0.000
Cd 0.232 0.732 0.500
Cd 0.500 0.000 0.000
Cd 0.500 0.500 0.500
Cd 0.768 0.268 0.500

Output
N(E_F) in states/eV/cell: 4.897
Total magnetic moment in μB per atom: 0.00
Space group: No. 71
E_form in eV per formula unit: -1.2



Record 6
Here is Ac7Pr12Tm after structural relaxation from Alexandria. Energies are from PBE-GGA.

a = 10.909 Å, b = 10.909 Å, c = 10.909 Å
α = 109.47°, β = 109.47°, γ = 109.47°
Fractional positions:
Ac 0.000 0.000 0.500
Ac 0.000 0.500 0.000
Ac 0.000 0.500 0.500
Ac 0.500 0.000 0.000
Ac 0.500 0.000 0.500
Ac 0.500 0.500 0.000
Ac 0.500 0.500 0.500
Pr 0.103 0.239 0.863
Pr 0.137 0.376 0.239
Pr 0.137 0.897 0.761
Pr 0.239 0.137 0.376
Pr 0.239 0.863 0.103
Pr 0.376 0.239 0.137
Pr 0.624 0.761 0.863
Pr 0.761 0.137 0.897
Pr 0.761 0.863 0.624
Pr 0.863 0.103 0.239
Pr 0.863 0.624 0.761
Pr 0.897 0.761 0.137
Tm 0.000 0.000 0.000

Output
N(E_F) in states/eV/cell: 32.955
Total magnetic moment in μB per atom: 0.00
Space group: No. 204
E_form in eV per formula unit: 14.0



Record 7
Here is Na2In4Sn after structural relaxation from Alexandria. Energies are from PBE-GGA.

a = 11.251 Å, b = 11.251 Å, c = 3.177 Å
α = 90.00°, β = 90.00°, γ = 150.44°
Fractional positions:
Na 0.210 0.790 0.000
Na 0.790 0.210 0.000
In 0.073 0.927 0.500
In 0.364 0.636 0.000
In 0.636 0.364 0.000
In 0.927 0.073 0.500
Sn 0.500 0.500 0.500

Output
Distance to the lowest polymorph of the same formula in kJ/mol of atoms: 4.2
N(E_F) in states/eV/cell: 3.400
Total magnetic moment in μB per atom: 0.00
Space group: No. 65
E_form in eV per formula unit: 0.0



Record 8
Here is TcHg after structural relaxation from Alexandria. Energies are from PBE-GGA.

a = 10.181 Å, b = 10.181 Å, c = 10.181 Å
α = 16.38°, β = 16.38°, γ = 16.38°
Fractional positions:
Tc 0.134 0.134 0.134
Tc 0.866 0.866 0.866
Hg 0.383 0.383 0.383
Hg 0.617 0.617 0.617

Output
Distance to the lowest polymorph of the same formula in kJ/mol of atoms: 7.7
N(E_F) in states/eV/cell: 1.746
Total magnetic moment in μB per atom: 0.00
Space group: No. 166
E_form in eV per formula unit: 0.6



Record 9
Here is FeNiAu2Br after structural relaxation from Alexandria. Energies are from PBE-GGA.

a = 4.895 Å, b = 4.895 Å, c = 4.491 Å
α = 90.00°, β = 90.00°, γ = 90.00°
Fractional positions:
Fe 0.000 0.000 0.000
Ni 0.500 0.500 0.500
Au 0.000 0.500 0.500
Au 0.500 0.000 0.500
Br 0.500 0.500 0.000

Output
Formation energy without anion corrections in eV/atom: 0.859
N(E_F) in states/eV/cell: 8.849
Total magnetic moment in μB per atom: 0.70
Space group: No. 123



Record 10
Here is KLi2P2 after structural relaxation from Alexandria. Energies are from PBE-GGA.

a = 8.083 Å, b = 8.083 Å, c = 2.682 Å
α = 90.00°, β = 90.00°, γ = 90.00°
Fractional positions:
K 0.000 0.000 0.000
K 0.500 0.500 0.000
Li 0.122 0.378 0.000
Li 0.378 0.878 0.000
Li 0.622 0.122 0.000
Li 0.878 0.622 0.000
P 0.165 0.665 0.500
P 0.335 0.165 0.500
P 0.665 0.835 0.500
P 0.835 0.335 0.500

Output
Distance to the lowest polymorph of the same formula in kJ/mol of atoms: 13.3
N(E_F) in states/eV/cell: 2.391
Total magnetic moment in μB per atom: 0.00
Space group: No. 127
E_form in eV per formula unit: -1.8



Record 11
Here is HoTlGaO4 after structural relaxation from Alexandria. Energies are from PBE-GGA.

a = 6.607 Å, b = 6.607 Å, c = 6.607 Å
α = 123.24°, β = 117.34°, γ = 89.58°
Fractional positions:
Ho 0.000 0.000 0.000
Ho 0.500 0.000 0.500
Tl 0.500 0.000 0.000
Tl 0.500 0.500 0.500
Ga 0.116 0.366 0.750
Ga 0.884 0.634 0.250
O 0.216 0.244 0.972
O 0.227 0.756 0.472
O 0.234 0.230 0.496
O 0.234 0.738 0.004
O 0.766 0.262 0.996
O 0.766 0.770 0.504
O 0.773 0.244 0.528
O 0.784 0.756 0.028

Output
Formation energy without anion corrections in eV/atom: -1.918
N(E_F) in states/eV/cell: 4.588
Total magnetic moment in μB per atom: 0.00
Space group: No. 74



Repeat the third record exactly.
Here is Re4Tc2Rh3 after structural relaxation from Alexandria. Energies are from PBE-GGA.

a = 4.812 Å, b = 7.043 Å, c = 8.522 Å
α = 108.56°, β = 105.85°, γ = 90.04°
Fractional positions:
Re 0.054 0.463 0.275
Re 0.165 0.256 0.508
Re 0.169 0.077 0.161
Re 0.389 0.796 0.942
Re 0.611 0.204 0.058
Re 0.831 0.923 0.839
Re 0.835 0.744 0.492
Re 0.946 0.537 0.725
Tc 0.278 0.870 0.391
Tc 0.497 0.589 0.172
Tc 0.503 0.411 0.828
Tc 0.722 0.130 0.609
Rh 0.056 0.306 0.943
Rh 0.276 0.026 0.722
Rh 0.389 0.639 0.610
Rh 0.611 0.361 0.390
Rh 0.724 0.974 0.278
Rh 0.944 0.694 0.057

Output
N(E_F) in states/eV/cell: 16.057
Total magnetic moment in μB per atom: 0.00
Space group: No. 2
E_form in eV per formula unit: -0.8



Question: What is the formula in the eleventh record?
Answer: HoTlGaO4



Question: What is the total magnetic moment in the eighth record?
Answer: 0.00 μB per atom